First-principles (PBE) data for crystalline PPtBr at its relaxed geometry, as listed in Alexandria via LeMat-Bulk.

Cell: 4.4372 4.4372 4.4372 Å, 60.00 60.00 60.00°
Fractional positions:
P (0.0000, 0.0000, 0.0000)
Pt (0.2500, 0.2500, 0.2500)
Br (0.7500, 0.7500, 0.7500)

Values from the calculation:
Its uncorrected formation energy is 778 meV per atom. As for the energy relative to the lowest polymorph listed for this composition: 3.05 eV per formula unit.

---

First-principles (PBE) data for crystalline PPt2Br at its relaxed geometry, as listed in Alexandria via LeMat-Bulk.

Cell: 3.3838 3.3838 7.3198 Å, 90.00 90.00 95.93°
Fractional positions:
P (0.0000, 0.0000, 0.0000)
Pt (0.0000, 0.0000, 0.3119)
Pt (0.5000, 0.5000, 0.0885)
Br (0.5000, 0.5000, 0.5471)

Values from the calculation:
Its uncorrected formation energy is 104 meV per atom.

---

First-principles (PBE) data for crystalline PPt2Br at its relaxed geometry, as listed in Alexandria via LeMat-Bulk.

Cell: 3.6893 3.7571 5.1706 Å, 90.00 91.05 90.00°
Fractional positions:
P (0.0000, 0.0000, 0.0000)
Pt (0.0000, 0.0000, 0.5000)
Pt (0.5000, 0.5000, 0.0000)
Br (0.5000, 0.5000, 0.5000)

Values from the calculation:
Its uncorrected formation energy is 331 meV per atom.